The following is a DFT calculation (PBE) of ScTi2Mn2 after structural relaxation.

Output
* raw total energy: -8.101 eV per atom
* ΔH_f (0 K): -0.046 eV per formula unit
* relative energy among the computed polymorphs: 0.00 eV/f.u.

a b c (Å): 7.235 7.235 3.057
angles (deg): 90.00 90.00 90.00
Each line ends with the local moment (μB).
Element x y z (fractional)
Sc 0.000 0.000 0.000  -0.14
Ti 0.147 0.647 0.500  -0.56
Sc 0.500 0.500 0.000  -0.14
Mn 0.361 0.861 0.000  1.90
Ti 0.853 0.353 0.500  -0.56
Ti 0.353 0.147 0.500  -0.57
Mn 0.861 0.639 0.000  1.91
Mn 0.639 0.139 0.000  1.90
Mn 0.139 0.361 0.000  1.91
Ti 0.647 0.853 0.500  -0.57


The following is a DFT calculation (PBE) of GeP2BrO after structural relaxation.

Output
* raw formation energy: 0.44 eV per atom
* raw total energy: -3.974 eV per atom
* relative energy among the computed polymorphs: 0.00 eV/f.u.

a b c (Å): 4.964 4.964 3.647
angles (deg): 90.00 90.00 90.00
Element x y z (fractional)
P 0.500 0.000 0.000
P 0.000 0.500 0.000
O 0.000 0.000 0.500
Ge 0.000 0.000 0.000
Br 0.500 0.500 0.500


The following is a DFT calculation (PBE) of Tm2PaRu after structural relaxation.

Output
* raw total energy: -7.047 eV per atom
* ΔH_f (0 K): -0.475 eV per formula unit
* relative energy among the computed polymorphs: 0.00 eV/f.u.

a b c (Å): 3.329 3.329 8.472
angles (deg): 90.00 90.00 90.00
Each line ends with the local moment (μB).
Element x y z (fractional)
Pa 0.500 0.500 0.500  0.63
Tm 0.000 0.000 0.194  0.03
Ru 0.500 0.500 0.000  0.02
Tm 0.000 0.000 0.806  0.03


The following is a DFT calculation (PBE) of CsGaC after structural relaxation.

Output
* raw total energy: -3.687 eV per atom
* ΔH_f (0 K): 2.042 eV per formula unit

a b c (Å): 7.795 3.669 10.902
angles (deg): 90.00 90.00 90.00
Element x y z (fractional)
Ga 0.620 0.750 0.994
Cs 0.004 0.250 0.817
Cs 0.504 0.250 0.683
C 0.334 0.750 0.950
C 0.166 0.250 0.450
Ga 0.880 0.250 0.494
C 0.834 0.750 0.550
Cs 0.496 0.750 0.317
Ga 0.380 0.250 0.006
C 0.666 0.250 0.050
Ga 0.120 0.750 0.506
Cs 0.996 0.750 0.183


The following is a DFT calculation (PBE) of Ho4Cu2Hg5 after structural relaxation.

Output
* raw total energy: -2.908 eV per atom
* ΔH_f (0 K): -3.978 eV per formula unit

a b c (Å): 3.658 7.498 9.390
angles (deg): 92.81 90.00 90.00
Element x y z (fractional)
Cu 0.000 0.063 0.626
Hg 0.000 0.439 0.669
Hg 0.000 0.500 0.000
Ho 0.500 0.183 0.853
Ho 0.500 0.767 0.569
Hg 0.000 0.840 0.856
Ho 0.500 0.233 0.431
Cu 0.000 0.937 0.374
Hg 0.000 0.561 0.331
Hg 0.000 0.160 0.144
Ho 0.500 0.817 0.147


The following is a DFT calculation (PBE) of Pa8MnIr5 after structural relaxation.

Output
* raw total energy: -9.806 eV per atom
* ΔH_f (0 K): -7.843 eV per formula unit

a b c (Å): 7.378 7.378 7.378
angles (deg): 110.13 108.16 110.13
Element x y z (fractional)
Pa 0.124 0.741 0.493
Pa 0.124 0.727 0.983
Ir 0.886 0.870 0.241
Ir 0.759 0.645 0.629
Pa 0.603 0.859 0.876
Mn 0.250 0.500 0.750
Ir 0.371 0.130 0.016
Pa 0.752 0.259 0.383
Pa 0.256 0.273 0.397
Pa 0.617 0.369 0.876
Pa 0.017 0.141 0.744
Ir 0.984 0.355 0.114
Pa 0.507 0.631 0.248
Ir 0.500 0.000 0.500


The following is a DFT calculation (PBE) of Ce6C2Cl3F after structural relaxation.

Output
* raw formation energy: -1.29 eV per atom
* raw total energy: -6.411 eV per atom

a b c (Å): 6.378 6.378 7.256
angles (deg): 98.42 98.42 120.00
Each line ends with the local moment (μB).
Element x y z (fractional)
Ce 0.724 0.724 0.203  0.41
Ce 0.068 0.412 0.204  0.38
Cl 0.167 0.833 0.500  -0.01
C 0.334 0.666 0.000  -0.02
F 0.000 0.000 0.000  0.00
Ce 0.276 0.276 0.797  0.41
Ce 0.588 0.932 0.796  0.38
Cl 0.500 0.500 0.500  -0.01
Cl 0.833 0.167 0.500  -0.01
Ce 0.412 0.068 0.204  0.38
Ce 0.932 0.588 0.796  0.38
C 0.666 0.334 0.000  -0.02


The following is a DFT calculation (PBE) of EuCO4 after structural relaxation.

Output
* raw formation energy: -1.72 eV per atom
* raw total energy: -8.275 eV per atom

a b c (Å): 5.011 7.387 8.527
angles (deg): 90.00 90.00 90.00
Each line ends with the local moment (μB).
Element x y z (fractional)
O 0.250 0.926 0.378  -0.74
O 0.750 0.679 0.471  -0.09
Eu 0.750 0.365 0.058  6.23
O 0.250 0.321 0.029  -0.09
O 0.750 0.074 0.122  -0.74
C 0.750 0.786 0.590  0.01
O 0.526 0.337 0.348  -0.14
O 0.474 0.163 0.848  -0.14
C 0.250 0.214 0.910  0.01
O 0.250 0.426 0.622  -0.74
Eu 0.250 0.635 0.442  6.23
O 0.973 0.337 0.348  -0.14
O 0.473 0.663 0.152  -0.14
O 0.026 0.663 0.152  -0.14
C 0.750 0.286 0.410  0.01
C 0.250 0.714 0.090  0.01
O 0.974 0.837 0.652  -0.14
O 0.527 0.837 0.652  -0.14
O 0.250 0.821 0.971  -0.09
Eu 0.250 0.135 0.558  6.23
O 0.750 0.574 0.878  -0.74
O 0.027 0.163 0.848  -0.14
O 0.750 0.179 0.529  -0.09
Eu 0.750 0.865 0.942  6.23


The following is a DFT calculation (PBE) of Tb2HoPd9 after structural relaxation.

Output
* raw total energy: -5.917 eV per atom
* ΔH_f (0 K): -10.436 eV per formula unit

a b c (Å): 4.127 4.127 12.381
angles (deg): 90.00 90.00 90.00
Element x y z (fractional)
Pd 0.500 0.000 0.835
Pd 0.000 0.500 0.500
Pd 0.500 0.500 0.000
Pd 0.000 0.500 0.165
Pd 0.500 0.500 0.667
Ho 0.000 0.000 0.000
Tb 0.000 0.000 0.668
Pd 0.500 0.500 0.333
Pd 0.500 0.000 0.165
Tb 0.000 0.000 0.332
Pd 0.000 0.500 0.835
Pd 0.500 0.000 0.500


The following is a DFT calculation (PBE) of TcNi2Pd after structural relaxation.

Output
* raw total energy: -6.598 eV per atom
* ΔH_f (0 K): 0.728 eV per formula unit
* relative energy among the computed polymorphs: 0.80 eV/f.u.

a b c (Å): 3.564 3.837 3.837
angles (deg): 90.00 90.00 90.00
Each line ends with the local moment (μB).
Element x y z (fractional)
Ni 0.000 0.000 0.500  0.48
Tc 0.500 0.000 0.000  1.50
Ni 0.000 0.500 0.000  0.48
Pd 0.500 0.500 0.500  0.19


The following is a DFT calculation (PBE) of Ca2OsBr after structural relaxation.

Output
* raw formation energy: 0.18 eV per atom
* raw total energy: -4.044 eV per atom
* relative energy among the computed polymorphs: 2.14 eV/f.u.

a b c (Å): 6.254 6.254 6.254
angles (deg): 140.84 140.84 56.59
Each line ends with the local moment (μB).
Element x y z (fractional)
Br 0.750 0.250 0.500  0.03
Ca 0.000 0.000 0.000  -0.03
Ca 0.250 0.750 0.500  -0.03
Os 0.500 0.500 0.000  1.05


The following is a DFT calculation (PBE) of Hf6ZrNb after structural relaxation.

Output
* raw total energy: -9.733 eV per atom
* ΔH_f (0 K): 0.478 eV per formula unit

a b c (Å): 4.696 6.161 6.161
angles (deg): 99.89 90.00 90.00
Element x y z (fractional)
Hf 0.000 0.900 0.673
Hf 0.000 0.327 0.100
Nb 0.500 0.172 0.828
Hf 0.500 0.666 0.891
Hf 0.000 0.827 0.173
Hf 0.500 0.109 0.334
Hf 0.000 0.384 0.616
Zr 0.500 0.615 0.385